No. 1
## TbPmBePd (PBE-GGA)

Data for TbPmBePd after structural relaxation.

Cell: 7.0651 7.0651 7.0651 Å, 90.00 90.00 90.00°
Closest atoms and distances in Å follow each position.
Space group F-43m (No. 216)
Symmetry-distinct sites (fractional):
Tb: 0.0000 0.0000 0.0000  4 Be 3.06, 4 Pd 3.06
Pm: 0.0000 0.0000 0.5000  4 Be 3.06, 4 Pd 3.06
Be: 0.2500 0.2500 0.7500  4 Tb 3.06, 4 Pm 3.06
Pd: 0.2500 0.2500 0.2500  4 Tb 3.06, 4 Pm 3.06

Calculated values
- ΔE_f: -0.293 eV/atom
- DOS(E_F): 2.34 states/eV/f.u.
- Final energy: -4.868 eV per atom
- Size of the total moment: 0.00 μB per formula unit

***

No. 2
## Y2ZrCo (PBE-GGA)

Data for Y2ZrCo after structural relaxation.

Cell: 4.4093 4.4093 9.4182 Å, 90.00 90.00 90.00°
Closest atoms and distances in Å follow each position.
Space group I4/mmm (No. 139)
Symmetry-distinct sites (fractional):
Y: 0.0000 0.5000 0.2500  4 Y 3.12, 4 Zr 3.23, 4 Co 3.23
Zr: 0.0000 0.0000 0.0000  4 Co 3.12, 8 Y 3.23
Co: 0.0000 0.0000 0.5000  4 Zr 3.12, 8 Y 3.23

Calculated values
- ΔE_f: 0.350 eV/atom
- DOS(E_F): 6.84 states/eV/f.u.
- Final energy: -6.795 eV per atom
- Size of the total moment: 1.36 μB per formula unit

***

No. 3
## Sm3HfN4 (PBE-GGA)

Data for Sm3HfN4 after structural relaxation.

Cell: 6.9978 9.8291 3.4628 Å, 90.00 90.00 90.00°
Closest atoms and distances in Å follow each position.
Space group Cmmm (No. 65)
Symmetry-distinct sites (fractional):
Sm: 0.0000 0.0000 0.0000  6 N 2.58-2.61
Sm: 0.2500 0.2500 0.5000  6 N 2.46-2.47
Hf: 0.0000 0.5000 0.0000  6 N 2.30-2.34
N: 0.0000 0.2658 0.0000  1 Hf 2.30, 4 Sm 2.47
N: 0.2258 0.5000 0.5000  2 Hf 2.34, 4 Sm 2.46-2.58

Calculated values
- DOS(E_F): 1.18 states/eV/f.u.
- Final energy: -8.740 eV per atom
- Size of the total moment: 0.00 μB per formula unit
- Formation energy from raw total energies: -1.563 eV/atom

***

No. 4
## Tb2SmGa2Cu2 (PBE-GGA)

Data for Tb2SmGa2Cu2 after structural relaxation.

Cell: 4.4115 4.4115 27.6104 Å, 90.00 90.00 120.00°
Closest atoms and distances in Å follow each position.
Space group R-3m (No. 166, hexagonal axes)
Symmetry-distinct sites (fractional):
Tb: 0.0000 0.0000 0.1245  3 Ga 2.94, 3 Cu 2.99
Sm: 0.0000 0.0000 0.0000  6 Cu 3.16, 6 Ga 3.22, 2 Tb 3.44
Ga: 0.0000 0.0000 0.2618  3 Cu 2.55
Cu: 0.0000 0.0000 0.4010  3 Ga 2.55

Calculated values
- ΔE_f: -0.390 eV/atom
- DOS(E_F): 4.99 states/eV/f.u.
- Final energy: -4.423 eV per atom
- Size of the total moment: 0.00 μB per formula unit

***

No. 5
## CoIr2W (PBE-GGA)

Data for CoIr2W after structural relaxation.

Cell: 6.1242 6.1242 6.1242 Å, 90.00 90.00 90.00°
Closest atoms and distances in Å follow each position.
Space group Fm-3m (No. 225)
Symmetry-distinct sites (fractional):
Co: 0.0000 0.0000 0.0000  8 Ir 2.65
Ir: 0.2500 0.2500 0.2500  4 W 2.65, 4 Co 2.65
W: 0.0000 0.0000 0.5000  8 Ir 2.65

Calculated values
- ΔE_f: 0.146 eV/atom
- DOS(E_F): 5.77 states/eV/f.u.
- Final energy: -9.300 eV per atom
- Size of the total moment: 0.96 μB per formula unit

***

No. 6
## Na4ScPa3Te8 (PBE-GGA)

Data for Na4ScPa3Te8 after structural relaxation.

Cell: 8.6063 8.6063 23.3758 Å, 90.00 90.00 120.00°
Closest atoms and distances in Å follow each position.
Space group R-3m (No. 166, hexagonal axes)
Symmetry-distinct sites (fractional):
Na: 0.0000 0.0000 0.0000  6 Te 3.31
Na: 0.0000 0.5000 0.0000  6 Te 3.19-3.21
Sc: 0.0000 0.0000 0.5000  6 Te 3.01
Pa: 0.0000 0.5000 0.5000  6 Te 3.11-3.12
Te: 0.0000 0.0000 0.2477  3 Pa 3.12, 3 Na 3.19
Te: 0.0113 0.5057 0.2443  1 Sc 3.01, 2 Pa 3.11, 3 Na 3.21-3.31

Calculated values
- DOS(E_F): 17.72 states/eV/f.u.
- Final energy: -5.004 eV per atom
- Size of the total moment: 5.84 μB per formula unit
- Formation energy from raw total energies: -0.927 eV/atom

***

No. 7
## SrSi2Pt3 (PBE-GGA)

Data for SrSi2Pt3 after structural relaxation.

Cell: 4.1012 7.8697 15.3077 Å, 90.00 90.00 90.00°
Closest atoms and distances in Å follow each position.
Space group Immm (No. 71)
Symmetry-distinct sites (fractional):
Sr: 0.0000 0.0000 0.1717  8 Pt 3.36-3.57, 6 Si 3.53-3.65
Si: 0.0000 0.3528 0.5000  1 Si 2.32, 4 Pt 2.41
Si: 0.0000 0.5000 0.1313  6 Pt 2.46-2.52
Pt: 0.0000 0.1733 0.3725  3 Si 2.41-2.46
Pt: 0.0000 0.3075 0.0000  4 Si 2.41-2.52

Calculated values
- DOS(E_F): 3.02 states/eV/f.u.
- Final energy: -5.864 eV per atom
- Size of the total moment: 0.00 μB per formula unit
- Formation energy from raw total energies: -0.756 eV/atom

***

No. 8
## Cd2MoCl (PBE-GGA)

Data for Cd2MoCl after structural relaxation.

Cell: 3.1982 3.1982 26.7594 Å, 90.00 90.00 120.00°
Closest atoms and distances in Å follow each position.
Space group R-3m (No. 166, hexagonal axes)
Symmetry-distinct sites (fractional):
Cd: 0.0000 0.0000 0.2501  3 Mo 2.89, 3 Cl 2.90, 6 Cd 3.20
Mo: 0.0000 0.0000 0.0000  6 Cd 2.89, 6 Mo 3.20
Cl: 0.0000 0.0000 0.5000  6 Cd 2.90, 6 Cl 3.20

Calculated values
- DOS(E_F): 0.82 states/eV/f.u.
- Final energy: -3.436 eV per atom
- Size of the total moment: 0.00 μB per formula unit
- Formation energy from raw total energies: 0.191 eV/atom

***

No. 9
## Ho7Ge5Bi (PBE-GGA)

Data for Ho7Ge5Bi after structural relaxation.

Cell: 5.9250 10.8501 9.9766 Å, 90.00 90.00 90.00°
Closest atoms and distances in Å follow each position.
Space group Imm2 (No. 44)
Symmetry-distinct sites (fractional):
Ho: 0.0000 0.0000 0.0000  1 Bi 3.19, 2 Ho 3.28, 4 Ge 3.34
Ho: 0.0000 0.0000 0.3744  6 Ge 2.96-3.11, 1 Bi 3.05
Ho: 0.0000 0.3297 0.6363  5 Ge 2.93-3.08
Ho: 0.0000 0.3335 0.0976  5 Ge 2.94-3.16, 1 Ho 3.16
Ho: 0.0000 0.5000 0.3578  4 Ge 2.96, 4 Ho 3.16-3.28
Ge: 0.0000 0.5000 0.8643  6 Ho 2.93-2.96, 4 Ge 3.22
Ge: 0.2295 0.2578 0.3711  1 Ge 2.72, 3 Ho 2.94-2.99
Bi: 0.0000 0.0000 0.6806  2 Ho 3.05-3.19

Calculated values
- ΔE_f: -0.551 eV/atom
- DOS(E_F): 8.56 states/eV/f.u.
- Final energy: -5.090 eV per atom
- Size of the total moment: 0.00 μB per formula unit

***

No. 10
## K2AcScS4 (PBE-GGA)

Data for K2AcScS4 after structural relaxation.

Cell: 7.1889 4.1509 7.7582 Å, 90.00 107.94 90.00°
Closest atoms and distances in Å follow each position.
Space group P2/m (No. 10)
Symmetry-distinct sites (fractional):
K: 0.0000 0.0000 0.0000  6 S 3.35-3.40
K: 0.5000 0.5000 0.0000  6 S 3.15-3.16
Ac: 0.0000 0.5000 0.5000  6 S 2.95
Sc: 0.5000 0.0000 0.5000  6 S 2.65-2.73
S: 0.2678 0.0000 0.7067  1 Sc 2.65, 2 Ac 2.95
S: 0.2921 0.5000 0.3037  2 Sc 2.73, 1 Ac 2.95

Calculated values
- DOS(E_F): 0.00 states/eV/f.u.
- Final energy: -5.407 eV per atom
- Size of the total moment: 0.00 μB per formula unit
- Formation energy from raw total energies: -1.764 eV/atom

***

No. 11
## Pr9Tm2In (PBE-GGA)

Data for Pr9Tm2In after structural relaxation.

Cell: 5.1030 5.1030 15.5191 Å, 90.00 90.00 90.00°
Closest atoms and distances in Å follow each position.
Space group P4/mmm (No. 123)
Symmetry-distinct sites (fractional):
Pr: 0.0000 0.0000 0.0000  8 Pr 3.58, 4 In 3.61
Pr: 0.0000 0.0000 0.3316  4 Tm 3.61, 8 Pr 3.65-3.66
Pr: 0.0000 0.5000 0.1623  2 In 3.58, 8 Pr 3.58-3.66, 2 Tm 3.67
Pr: 0.0000 0.5000 0.5000  8 Pr 3.61-3.65, 4 Tm 3.65
Tm: 0.5000 0.5000 0.3322  12 Pr 3.61-3.67
In: 0.5000 0.5000 0.0000  12 Pr 3.58-3.61

Calculated values
- ΔE_f: -0.074 eV/atom
- DOS(E_F): 14.31 states/eV/f.u.
- Final energy: -4.633 eV per atom
- Size of the total moment: 0.00 μB per formula unit

***

No. 12
## SnBSb2Pd (PBE-GGA)

Data for SnBSb2Pd after structural relaxation.

Cell: 5.6549 5.6549 4.9617 Å, 90.00 90.00 90.00°
Closest atoms and distances in Å follow each position.
Space group P4/mmm (No. 123)
Symmetry-distinct sites (fractional):
Sn: 0.0000 0.0000 0.0000  2 Pd 2.48
B: 0.5000 0.5000 0.5000  8 Sb 3.76, 4 Pd 4.00
Sb: 0.0000 0.5000 0.0000  2 Sn 2.83
Pd: 0.0000 0.0000 0.5000  2 Sn 2.48

Calculated values
- DOS(E_F): 5.11 states/eV/f.u.
- Final energy: -3.267 eV per atom
- Size of the total moment: 0.00 μB per formula unit
- Formation energy from raw total energies: 1.557 eV/atom

***

No. 13
## NpNbP (PBE-GGA)

Data for NpNbP after structural relaxation.

Cell: 3.5691 3.5691 7.6585 Å, 90.00 90.00 90.00°
Closest atoms and distances in Å follow each position.
Space group P4/nmm (No. 129, origin choice 2)
Symmetry-distinct sites (fractional):
Np: 0.2500 0.7500 0.0000  4 Np 2.52
Nb: 0.2500 0.2500 0.3739  5 P 2.59-2.61
P: 0.2500 0.2500 0.7115  5 Nb 2.59-2.61, 4 Np 2.84

Calculated values
- ΔE_f: -0.692 eV/atom
- DOS(E_F): 2.12 states/eV/f.u.
- Final energy: -10.166 eV per atom
- Size of the total moment: 0.00 μB per formula unit

***

No. 14
## AlZn2Re (PBE-GGA)

Data for AlZn2Re after structural relaxation.

Cell: 2.7205 4.0191 5.4026 Å, 90.00 90.00 90.00°
Closest atoms and distances in Å follow each position.
Space group Pmm2 (No. 25)
Symmetry-distinct sites (fractional):
Al: 0.0000 0.0000 0.0000  6 Zn 2.60-2.88, 4 Re 2.69, 2 Al 2.72
Zn: 0.0000 0.0000 0.4808  2 Al 2.60-2.81, 6 Zn 2.72-2.74, 4 Re 2.82
Zn: 0.5000 0.5000 0.7145  2 Re 2.69-2.71, 6 Zn 2.72-2.74, 4 Al 2.88
Re: 0.5000 0.5000 0.2133  4 Al 2.69, 6 Zn 2.69-2.82, 2 Re 2.72

Calculated values
- ΔE_f: 0.061 eV/atom
- DOS(E_F): 1.95 states/eV/f.u.
- Final energy: -4.623 eV per atom
- Size of the total moment: 0.00 μB per formula unit

***

No. 15
## La2Pm3Pt3 (PBE-GGA)

Data for La2Pm3Pt3 after structural relaxation.

Cell: 3.6111 5.2384 22.3538 Å, 90.00 90.00 90.00°
Closest atoms and distances in Å follow each position.
Space group Immm (No. 71)
Symmetry-distinct sites (fractional):
La: 0.0000 0.0000 0.2209  2 Pt 3.05
Pm: 0.0000 0.0000 0.0000  8 Pt 3.07-3.18
Pm: 0.0000 0.5000 0.1093  6 Pt 3.04-3.18
Pt: 0.0000 0.0000 0.5000  8 Pm 3.04-3.18
Pt: 0.0000 0.5000 0.3889  2 La 3.05, 6 Pm 3.07-3.18

Calculated values
- ΔE_f: -0.781 eV/atom
- DOS(E_F): 7.80 states/eV/f.u.
- Final energy: -6.060 eV per atom
- Size of the total moment: 0.00 μB per formula unit

***

No. 16
## TaCd3As (PBE-GGA)

Data for TaCd3As after structural relaxation.

Cell: 5.1318 5.1318 5.1318 Å, 90.00 90.00 90.00°
Closest atoms and distances in Å follow each position.
Space group Pm-3m (No. 221)
Symmetry-distinct sites (fractional):
Ta: 0.0000 0.0000 0.0000  12 Cd 3.63
Cd: 0.0000 0.5000 0.5000  2 As 2.57
As: 0.5000 0.5000 0.5000  6 Cd 2.57

Calculated values
- ΔE_f: 1.232 eV/atom
- DOS(E_F): 3.73 states/eV/f.u.
- Final energy: -2.618 eV per atom
- Size of the total moment: 2.65 μB per formula unit

***

No. 17
## BeHg2As (PBE-GGA)

Data for BeHg2As after structural relaxation.

Cell: 4.1086 4.1086 9.4349 Å, 90.00 90.00 90.00°
Closest atoms and distances in Å follow each position.
Space group I4/mmm (No. 139)
Symmetry-distinct sites (fractional):
Be: 0.0000 0.0000 0.0000  4 As 2.91, 8 Hg 3.13
Hg: 0.0000 0.5000 0.2500  4 Hg 2.91, 4 As 3.13, 4 Be 3.13
As: 0.0000 0.0000 0.5000  4 Be 2.91, 8 Hg 3.13

Calculated values
- ΔE_f: 0.587 eV/atom
- DOS(E_F): 1.78 states/eV/f.u.
- Final energy: -1.658 eV per atom
- Size of the total moment: 0.00 μB per formula unit

***

No. 18
## ZrCuRe2 (PBE-GGA)

Data for ZrCuRe2 after structural relaxation.

Cell: 3.8281 3.8281 8.8057 Å, 90.00 90.00 90.00°
Closest atoms and distances in Å follow each position.
Space group I4/mmm (No. 139)
Symmetry-distinct sites (fractional):
Zr: 0.0000 0.0000 0.0000  4 Cu 2.71, 8 Re 2.92
Cu: 0.0000 0.0000 0.5000  4 Zr 2.71, 8 Re 2.92
Re: 0.0000 0.5000 0.2500  4 Re 2.71, 4 Zr 2.92, 4 Cu 2.92

Calculated values
- ΔE_f: 0.216 eV/atom
- DOS(E_F): 3.72 states/eV/f.u.
- Final energy: -9.169 eV per atom
- Size of the total moment: 0.00 μB per formula unit

***

No. 19
## LaMnPdBr2 (PBE-GGA)

Data for LaMnPdBr2 after structural relaxation.

Cell: 5.8207 5.8207 5.4474 Å, 90.00 90.00 90.00°
Closest atoms and distances in Å follow each position.
Space group P4/mmm (No. 123)
Symmetry-distinct sites (fractional):
La: 0.0000 0.0000 0.0000  2 Pd 2.72, 4 Br 2.91
Mn: 0.5000 0.5000 0.5000  8 Br 3.99, 4 Pd 4.12
Pd: 0.0000 0.0000 0.5000  2 La 2.72
Br: 0.0000 0.5000 0.0000  2 La 2.91

Calculated values
- DOS(E_F): 6.92 states/eV/f.u.
- Final energy: -4.690 eV per atom
- Size of the total moment: 5.68 μB per formula unit
- Formation energy from raw total energies: -0.163 eV/atom

***

No. 20
## CdNi3Sb (PBE-GGA)

Data for CdNi3Sb after structural relaxation.

Cell: 5.1426 10.4521 6.5351 Å, 90.00 90.00 90.00°
Closest atoms and distances in Å follow each position.
Space group Imma (No. 74)
Symmetry-distinct sites (fractional):
Cd: 0.0000 0.2500 0.0872  7 Ni 2.62-2.83
Ni: 0.0000 0.2500 0.4915  4 Ni 2.45, 2 Sb 2.61, 3 Cd 2.62-2.64
Ni: 0.2500 0.1329 0.7500  5 Ni 2.45-2.57, 2 Sb 2.50
Sb: 0.0000 0.0000 0.5000  6 Ni 2.50-2.61

Calculated values
- DOS(E_F): 3.07 states/eV/f.u.
- Final energy: -4.441 eV per atom
- Size of the total moment: 0.00 μB per formula unit
- Formation energy from raw total energies: 0.035 eV/atom